one) YTlAg2 | PBE-GGA | optimized geometry

a = 3.639 Å, b = 3.639 Å, c = 6.915 Å
α = 90.00°, β = 90.00°, γ = 90.00°
Sites, in units of the cell vectors:
Y  0.000  0.000  0.000
Tl  0.500  0.500  0.705
Ag  0.000  0.000  0.465
Ag  0.500  0.500  0.254

Properties
**SG**: P4mm, No. 99

=====

two) YTlAg2 | PBE-GGA | optimized geometry

a = 9.399 Å, b = 9.399 Å, c = 9.399 Å
α = 21.51°, β = 21.51°, γ = 21.51°
Sites, in units of the cell vectors:
Y  0.000  0.000  0.000
Tl  0.237  0.237  0.237
Ag  0.490  0.490  0.490
Ag  0.750  0.750  0.750

Properties
**SG**: R3m, No. 160

=====

It turns out one) is the most stable, with the second structure 149 meV/atom higher.

=====

one) Y8TlAg2 | PBE-GGA | optimized geometry

a = 8.364 Å, b = 8.364 Å, c = 5.485 Å
α = 99.68°, β = 99.68°, γ = 116.27°
Sites, in units of the cell vectors:
Y  0.090  0.328  0.600
Y  0.230  0.770  0.000
Y  0.328  0.090  0.600
Y  0.395  0.395  0.195
Y  0.605  0.605  0.805
Y  0.672  0.910  0.400
Y  0.770  0.230  0.000
Y  0.910  0.672  0.400
Tl  0.000  0.000  0.000
Ag  0.305  0.695  0.500
Ag  0.695  0.305  0.500

Properties
**SG**: C2/m, No. 12

=====

two) Y8TlAg2 | PBE-GGA | optimized geometry

a = 8.587 Å, b = 8.587 Å, c = 8.343 Å
α = 116.92°, β = 116.92°, γ = 35.52°
Sites, in units of the cell vectors:
Y  0.065  0.065  0.225
Y  0.148  0.148  0.706
Y  0.314  0.314  0.534
Y  0.398  0.398  0.039
Y  0.602  0.602  0.961
Y  0.686  0.686  0.466
Y  0.852  0.852  0.294
Y  0.935  0.935  0.775
Tl  0.500  0.500  0.500
Ag  0.216  0.216  0.118
Ag  0.784  0.784  0.882

Properties
**SG**: C2/m, No. 12

=====

It turns out two) is the most stable, with the second structure 100 meV/atom higher.

=====

one) YTlAg3 | PBE-GGA | optimized geometry

a = 5.590 Å, b = 5.590 Å, c = 5.590 Å
α = 90.00°, β = 90.00°, γ = 90.00°
Sites, in units of the cell vectors:
Y  0.000  0.000  0.000
Tl  0.500  0.500  0.500
Ag  0.000  0.000  0.500
Ag  0.000  0.500  0.000
Ag  0.500  0.000  0.000

Properties
**SG**: Pm-3m, No. 221

=====

two) YTlAg3 | PBE-GGA | optimized geometry

a = 14.483 Å, b = 14.483 Å, c = 3.407 Å
α = 90.00°, β = 90.00°, γ = 161.23°
Sites, in units of the cell vectors:
Y  0.179  0.821  0.000
Y  0.821  0.179  0.000
Tl  0.375  0.625  0.500
Tl  0.625  0.375  0.500
Ag  0.053  0.947  0.500
Ag  0.274  0.726  0.500
Ag  0.454  0.546  0.000
Ag  0.546  0.454  0.000
Ag  0.726  0.274  0.500
Ag  0.947  0.053  0.500

Properties
**SG**: Cmmm, No. 65

=====

three) YTlAg3 | PBE-GGA | optimized geometry

a = 5.177 Å, b = 5.177 Å, c = 5.177 Å
α = 90.00°, β = 90.00°, γ = 90.00°
Sites, in units of the cell vectors:
Y  0.000  0.000  0.000
Tl  0.500  0.500  0.500
Ag  0.000  0.500  0.500
Ag  0.500  0.000  0.500
Ag  0.500  0.500  0.000

Properties
**SG**: Pm-3m, No. 221

=====

It turns out two) is the most stable, with the second structure 477 meV/atom higher.

=====

one) TlZn2Ag | PBE-GGA | optimized geometry

a = 5.877 Å, b = 5.877 Å, c = 5.877 Å
α = 149.69°, β = 128.90°, γ = 60.57°
Sites, in units of the cell vectors:
Tl  0.000  0.000  0.000
Zn  0.278  0.778  0.500
Zn  0.497  0.497  0.000
Ag  0.723  0.223  0.500

Properties
**SG**: Imm2, No. 44

=====

two) TlZn2Ag | PBE-GGA | optimized geometry

a = 5.170 Å, b = 5.170 Å, c = 5.170 Å
α = 130.74°, β = 130.74°, γ = 72.23°
Sites, in units of the cell vectors:
Tl  0.000  0.000  0.000
Zn  0.250  0.750  0.500
Zn  0.750  0.250  0.500
Ag  0.500  0.500  0.000

Properties
**SG**: I4/mmm, No. 139

=====

three) TlZn2Ag | PBE-GGA | optimized geometry

a = 3.243 Å, b = 4.907 Å, c = 5.110 Å
α = 90.00°, β = 96.06°, γ = 90.00°
Sites, in units of the cell vectors:
Tl  0.000  0.000  0.000
Zn  0.229  0.500  0.278
Zn  0.771  0.500  0.722
Ag  0.500  0.000  0.500

Properties
**SG**: P2/m, No. 10

=====

four) TlZn2Ag | PBE-GGA | optimized geometry

a = 4.724 Å, b = 4.724 Å, c = 5.934 Å
α = 102.31°, β = 102.31°, γ = 39.01°
Sites, in units of the cell vectors:
Tl  0.000  0.000  0.000
Zn  0.493  0.493  0.483
Zn  0.757  0.757  0.310
Ag  0.234  0.234  0.695

Properties
**SG**: Cm, No. 8

=====

It turns out four) is the most stable, with the second structure 26 meV/atom higher.

=====

one) TlZn2Ag | PBE-GGA | optimized geometry

a = 3.259 Å, b = 3.259 Å, c = 7.485 Å
α = 90.00°, β = 90.00°, γ = 90.00°
Sites, in units of the cell vectors:
Tl  0.000  0.000  0.000
Zn  0.000  0.000  0.495
Zn  0.500  0.500  0.303
Ag  0.500  0.500  0.695

Properties
**SG**: P4mm, No. 99

=====

two) TlZn2Ag | PBE-GGA | optimized geometry

a = 4.834 Å, b = 4.834 Å, c = 4.834 Å
α = 60.00°, β = 60.00°, γ = 60.00°
Sites, in units of the cell vectors:
Tl  0.000  0.000  0.000
Zn  0.250  0.250  0.250
Zn  0.750  0.750  0.750
Ag  0.500  0.500  0.500

Properties
**SG**: Fm-3m, No. 225

=====

It turns out one) is the most stable, with the second structure 80 meV/atom higher.

=====

one) TlZn2Ag | PBE-GGA | optimized geometry

a = 4.793 Å, b = 4.793 Å, c = 3.565 Å
α = 90.00°, β = 90.00°, γ = 106.70°
Sites, in units of the cell vectors:
Tl  0.000  0.000  0.000
Zn  0.000  0.500  0.500
Zn  0.500  0.000  0.500
Ag  0.500  0.500  0.000

Properties
**SG**: Cmmm, No. 65

=====

two) TlZn2Ag | PBE-GGA | optimized geometry

a = 5.704 Å, b = 5.704 Å, c = 5.704 Å
α = 148.01°, β = 122.99°, γ = 66.88°
Sites, in units of the cell vectors:
Tl  0.000  0.000  0.000
Zn  0.269  0.769  0.500
Zn  0.731  0.231  0.500
Ag  0.500  0.500  0.000

Properties
**SG**: Immm, No. 71

=====

three) TlZn2Ag | PBE-GGA | optimized geometry

a = 3.055 Å, b = 3.835 Å, c = 6.790 Å
α = 90.00°, β = 90.00°, γ = 90.00°
Sites, in units of the cell vectors:
Tl  0.000  0.000  0.000
Zn  0.500  0.500  0.295
Zn  0.500  0.500  0.705
Ag  0.000  0.000  0.500

Properties
**SG**: Pmmm, No. 47

=====

It turns out three) is the most stable, with the second structure 39 meV/atom higher.